The following is a DFT calculation (PBE-GGA) of crystalline Ho2PbS at its relaxed geometry.

Cell and atoms, written as CIF:
```
data_Ho2PbS
_cell_length_a 3.775
_cell_length_b 3.775
_cell_length_c 8.176
_cell_angle_alpha 90.00
_cell_angle_beta 90.00
_cell_angle_gamma 60.00
_space_group_name_H-M_alt 'P 1'
_space_group_IT_number 1
_space_group_name_Hall 'P 1'
loop_
_atom_site_label
_atom_site_type_symbol
_atom_site_fract_x
_atom_site_fract_y
_atom_site_fract_z
Ho1 Ho 0.333 0.333 0.806
Ho2 Ho 0.667 0.667 0.194
S1 S 0.000 0.000 0.000
Pb1 Pb 0.000 0.000 0.500
```

## Properties
- calculated density (g cm⁻³) = 9.4
- formation energy without anion corrections (eV/atom) = -1.15
- offset from the most stable computed form (eV/atom) = 0.0592

The following is a DFT calculation (PBE-GGA) of crystalline Rb2InPb2 at its relaxed geometry.

Cell and atoms, written as CIF:
```
data_Rb2InPb2
_cell_length_a 10.912
_cell_length_b 10.912
_cell_length_c 3.548
_cell_angle_alpha 90.00
_cell_angle_beta 90.00
_cell_angle_gamma 90.00
_space_group_name_H-M_alt 'P 1'
_space_group_IT_number 1
_space_group_name_Hall 'P 1'
loop_
_atom_site_label
_atom_site_type_symbol
_atom_site_fract_x
_atom_site_fract_y
_atom_site_fract_z
Rb1 Rb 0.302 0.802 0.000
Rb2 Rb 0.698 0.198 0.000
Rb3 Rb 0.198 0.302 0.000
Rb4 Rb 0.802 0.698 0.000
Pb1 Pb 0.099 0.599 0.500
Pb2 Pb 0.401 0.099 0.500
Pb3 Pb 0.599 0.901 0.500
Pb4 Pb 0.901 0.401 0.500
In1 In 0.000 0.000 0.000
In2 In 0.500 0.500 0.000
```

## Properties
- energy relative to the elements (eV/f.u.) = 0.664
- calculated density (g cm⁻³) = 5.5
- offset from the most stable computed form (eV/atom) = 0.2422

The following is a DFT calculation (PBE-GGA) of crystalline Fe3PbC at its relaxed geometry.

Cell and atoms, written as CIF:
```
data_Fe3PbC
_cell_length_a 4.975
_cell_length_b 4.975
_cell_length_c 4.975
_cell_angle_alpha 90.00
_cell_angle_beta 90.00
_cell_angle_gamma 90.00
_space_group_name_H-M_alt 'P 1'
_space_group_IT_number 1
_space_group_name_Hall 'P 1'
loop_
_atom_site_label
_atom_site_type_symbol
_atom_site_fract_x
_atom_site_fract_y
_atom_site_fract_z
Fe1 Fe 0.000 0.500 0.000
Fe2 Fe 0.500 0.000 0.000
Fe3 Fe 0.000 0.000 0.500
Pb1 Pb 0.000 0.000 0.000
C1 C 0.500 0.500 0.500
```

## Properties
- energy relative to the elements (eV/f.u.) = 14.376
- calculated density (g cm⁻³) = 5.2
- offset from the most stable computed form (eV/atom) = 2.5431

The following is a DFT calculation (PBE-GGA) of crystalline Si3SbH at its relaxed geometry.

Cell and atoms, written as CIF:
```
data_Si3SbH
_cell_length_a 4.259
_cell_length_b 4.259
_cell_length_c 4.259
_cell_angle_alpha 90.00
_cell_angle_beta 90.00
_cell_angle_gamma 90.00
_space_group_name_H-M_alt 'P 1'
_space_group_IT_number 1
_space_group_name_Hall 'P 1'
loop_
_atom_site_label
_atom_site_type_symbol
_atom_site_fract_x
_atom_site_fract_y
_atom_site_fract_z
Si1 Si 0.500 0.000 0.000
Si2 Si 0.000 0.000 0.500
Si3 Si 0.000 0.500 0.000
H1 H 0.000 0.000 0.000
Sb1 Sb 0.500 0.500 0.500
```

## Properties
- calculated density (g cm⁻³) = 4.4
- offset from the most stable computed form (eV/atom) = 0.0000

The following is a DFT calculation (PBE-GGA) of crystalline MgTcSb4 at its relaxed geometry.

Cell and atoms, written as CIF:
```
data_MgTcSb4
_cell_length_a 6.150
_cell_length_b 6.150
_cell_length_c 6.150
_cell_angle_alpha 60.00
_cell_angle_beta 60.00
_cell_angle_gamma 60.00
_space_group_name_H-M_alt 'P 1'
_space_group_IT_number 1
_space_group_name_Hall 'P 1'
loop_
_atom_site_label
_atom_site_type_symbol
_atom_site_fract_x
_atom_site_fract_y
_atom_site_fract_z
Sb1 Sb 0.375 0.874 0.375
Sb2 Sb 0.375 0.375 0.375
Sb3 Sb 0.375 0.375 0.874
Sb4 Sb 0.874 0.375 0.375
Tc1 Tc 0.750 0.750 0.750
Mg1 Mg 0.000 0.000 0.000
```

## Properties
- calculated density (g cm⁻³) = 6.2
- formation energy without anion corrections (eV/atom) = 0.81

The following is a DFT calculation (PBE-GGA) of crystalline Li6Cu at its relaxed geometry.

Cell and atoms, written as CIF:
```
data_Li6Cu
_cell_length_a 4.572
_cell_length_b 4.572
_cell_length_c 7.066
_cell_angle_alpha 71.12
_cell_angle_beta 71.12
_cell_angle_gamma 60.00
_space_group_name_H-M_alt 'P 1'
_space_group_IT_number 1
_space_group_name_Hall 'P 1'
loop_
_atom_site_label
_atom_site_type_symbol
_atom_site_fract_x
_atom_site_fract_y
_atom_site_fract_z
Li1 Li 0.865 0.865 0.406
Li2 Li 0.135 0.135 0.594
Li3 Li 0.576 0.576 0.271
Li4 Li 0.424 0.424 0.729
Li5 Li 0.711 0.711 0.868
Li6 Li 0.289 0.289 0.132
Cu1 Cu 0.000 0.000 0.000
```

## Properties
- energy relative to the elements (eV/f.u.) = 0.134
- calculated density (g cm⁻³) = 1.5
- offset from the most stable computed form (eV/atom) = 0.0000

The following is a DFT calculation (PBE-GGA) of crystalline ZnInIr at its relaxed geometry.

Cell and atoms, written as CIF:
```
data_ZnInIr
_cell_length_a 4.420
_cell_length_b 4.420
_cell_length_c 7.394
_cell_angle_alpha 72.61
_cell_angle_beta 72.61
_cell_angle_gamma 60.00
_space_group_name_H-M_alt 'P 1'
_space_group_IT_number 1
_space_group_name_Hall 'P 1'
loop_
_atom_site_label
_atom_site_type_symbol
_atom_site_fract_x
_atom_site_fract_y
_atom_site_fract_z
Zn1 Zn 0.122 0.122 0.635
Zn2 Zn 0.878 0.878 0.365
In1 In 0.622 0.622 0.134
In2 In 0.378 0.378 0.866
Ir1 Ir 0.244 0.244 0.269
Ir2 Ir 0.756 0.756 0.731
```

## Properties
- energy relative to the elements (eV/f.u.) = -0.189
- calculated density (g cm⁻³) = 10.5

The following is a DFT calculation (PBE-GGA) of crystalline Pr2Sm3Dy6Pu at its relaxed geometry.

Cell and atoms, written as CIF:
```
data_Pr2Sm3Dy6Pu
_cell_length_a 6.217
_cell_length_b 6.217
_cell_length_c 11.787
_cell_angle_alpha 95.06
_cell_angle_beta 95.06
_cell_angle_gamma 120.05
_space_group_name_H-M_alt 'P 1'
_space_group_IT_number 1
_space_group_name_Hall 'P 1'
loop_
_atom_site_label
_atom_site_type_symbol
_atom_site_fract_x
_atom_site_fract_y
_atom_site_fract_z
Dy1 Dy 0.918 0.589 0.751
Dy2 Dy 0.589 0.918 0.751
Dy3 Dy 0.082 0.411 0.249
Dy4 Dy 0.754 0.754 0.249
Dy5 Dy 0.246 0.246 0.751
Dy6 Dy 0.411 0.082 0.249
Sm1 Sm 0.833 0.167 0.500
Sm2 Sm 0.500 0.500 0.500
Sm3 Sm 0.167 0.833 0.500
Pr1 Pr 0.667 0.333 0.000
Pr2 Pr 0.333 0.667 0.000
Pu1 Pu 0.000 0.000 0.000
```

## Properties
- energy relative to the elements (eV/f.u.) = 0.557
- calculated density (g cm⁻³) = 8.4

| no. | calculated total energy (eV per atom) | D(E_F) (states/eV/cell) |
| --- | --- | --- |
| 1 | -5.395 | 2.7 |
| 2 | -2.285 | 5.9 |
| 3 | -4.789 | 13.4 |
| 4 | -4.036 | 2.6 |
| 5 | -3.936 | 5.4 |
| 6 | -2.206 | 3.0 |
| 7 | -4.354 | 1.7 |
| 8 | -5.425 | 23.9 |